<one>
Below is BaHf2Pt2 after structural relaxation, with properties calculated at the PBE level.

The symmetry is P4/mbm. The value obtained for the density of states at the Fermi level is 0.85 states/eV per atom.

The structure in POSCAR format:
```
BaHf2Pt2
1.0
8.262 0.000 0.000
0.000 8.262 0.000
0.000 0.000 3.355
Pt Hf Ba
4 4 2
Cartesian
3.093 7.224 0.000
5.168 1.037 0.000
7.224 5.168 0.000
1.037 3.093 0.000
7.051 2.920 1.678
2.920 1.211 1.678
1.211 5.342 1.678
5.342 7.051 1.678
0.000 0.000 0.000
4.131 4.131 0.000
```

---

<two>
Below is BaHf2Pt2 after structural relaxation, with properties calculated at the PBE level.

The symmetry is P4/mbm. The value obtained for the density of states at the Fermi level is 0.72 states/eV per atom.

The structure in POSCAR format:
```
BaHf2Pt2
1.0
8.244 0.000 0.000
0.000 8.244 0.000
0.000 0.000 3.199
Hf Ba Pt
4 2 4
Cartesian
7.072 5.294 0.000
5.294 1.172 0.000
1.172 2.950 0.000
2.950 7.072 0.000
0.000 0.000 0.000
4.122 4.122 0.000
7.072 2.950 1.600
2.950 1.172 1.600
1.172 5.294 1.600
5.294 7.072 1.600
```

---

<three>
Below is BaHf2Pt2 after structural relaxation, with properties calculated at the PBE level.

The symmetry is I4/mmm. The value obtained for the density of states at the Fermi level is 0.80 states/eV per atom.

The structure in POSCAR format:
```
BaHf2Pt2
1.0
-2.452 3.433 -2.051
-1.551 -3.033 -3.224
-6.419 -1.007 0.624
Pt Hf Ba
2 2 1
Cartesian
-3.155 -0.116 -1.785
-7.266 -0.492 -2.865
-4.986 -1.920 -2.618
-5.436 1.313 -2.032
0.000 0.000 0.000
```

---

Most stable pick: <three>. Distance to second place: 258 meV/atom.

---

<one>
Below is BaHf2Re after structural relaxation, with properties calculated at the PBE level.

The symmetry is Fm-3m. The value obtained for the density of states at the Fermi level is 1.48 states/eV per atom.

The structure in POSCAR format:
```
BaHf2Re
1.0
0.000 3.536 3.536
3.536 0.000 3.536
3.536 3.536 0.000
Re Ba Hf
1 1 2
Cartesian
3.536 3.536 3.536
0.000 0.000 0.000
5.303 5.303 5.303
1.768 1.768 1.768
```

---

<two>
Below is BaHf2Re after structural relaxation, with properties calculated at the PBE level.

The symmetry is I4_1/amd. The value obtained for the density of states at the Fermi level is 1.27 states/eV per atom.

The structure in POSCAR format:
```
BaHf2Re
1.0
-2.822 4.757 -2.052
-3.375 0.084 4.838
2.468 7.362 5.191
Hf Re Ba
4 2 2
Cartesian
-1.039 9.694 2.699
-2.273 6.010 0.108
-3.964 6.058 2.524
0.368 7.316 3.731
0.000 0.000 0.000
-1.727 7.270 2.266
-3.099 2.420 1.393
-2.003 4.934 5.711
```

---

Most stable pick: <one>. Distance to second place: 380 meV/atom.

---

<one>
Below is BaHf2Rh after structural relaxation, with properties calculated at the PBE level.

The symmetry is I4_1/amd. The value obtained for the density of states at the Fermi level is 1.89 states/eV per atom.

The structure in POSCAR format:
```
BaHf2Rh
1.0
-2.040 -5.135 -1.316
5.035 -1.437 -2.201
4.012 -6.257 5.934
Hf Rh Ba
4 2 2
Cartesian
3.384 -4.390 -0.386
0.868 -3.667 0.715
5.393 -7.517 2.580
4.368 -10.083 1.924
1.497 -3.286 -1.758
5.272 -5.490 0.988
1.734 -7.339 1.430
0.000 0.000 0.000
```

---

<two>
Below is BaHf2Rh after structural relaxation, with properties calculated at the PBE level.

The symmetry is Fm-3m. The value obtained for the density of states at the Fermi level is 1.18 states/eV per atom.

The structure in POSCAR format:
```
BaHf2Rh
1.0
0.000 3.514 3.514
3.514 0.000 3.514
3.514 3.514 0.000
Hf Ba Rh
2 1 1
Cartesian
5.272 5.272 5.272
1.757 1.757 1.757
3.514 3.514 3.514
0.000 0.000 0.000
```

---

Most stable pick: <two>. Distance to second place: 196 meV/atom.

---

<one>
Below is BaHf2Ru after structural relaxation, with properties calculated at the PBE level.

The symmetry is I4_1/amd. The value obtained for the density of states at the Fermi level is 1.69 states/eV per atom.

The structure in POSCAR format:
```
BaHf2Ru
1.0
-3.536 -1.582 4.338
4.469 0.200 3.716
-1.187 7.279 5.586
Hf Ba Ru
4 2 2
Cartesian
1.171 1.352 5.345
-1.065 1.251 3.488
-1.191 4.200 10.309
0.576 4.991 8.139
0.000 0.000 0.000
-2.128 2.503 6.976
0.467 -0.691 4.027
1.874 3.394 6.665
```

---

<two>
Below is BaHf2Ru after structural relaxation, with properties calculated at the PBE level.

The symmetry is Fm-3m. The value obtained for the density of states at the Fermi level is 1.52 states/eV per atom.

The structure in POSCAR format:
```
BaHf2Ru
1.0
-0.306 0.840 4.892
0.037 4.663 1.730
-4.139 1.969 1.931
Ba Hf Ru
1 2 1
Cartesian
-2.204 3.736 4.277
-1.102 1.868 2.138
-3.306 5.604 6.415
0.000 0.000 0.000
```

---

Most stable pick: <two>. Distance to second place: 236 meV/atom.

---

<one>
Below is BaHf3Ru after structural relaxation, with properties calculated at the PBE level.

The symmetry is Pm-3m. The value obtained for the density of states at the Fermi level is 1.96 states/eV per atom.

The structure in POSCAR format:
```
BaHf3Ru
1.0
5.146 0.000 0.000
0.000 5.146 0.000
0.000 0.000 5.146
Ba Hf Ru
1 3 1
Cartesian
2.573 2.573 2.573
2.573 0.000 0.000
0.000 2.573 0.000
0.000 0.000 2.573
0.000 0.000 0.000
```

---

<two>
Below is BaHf3Ru after structural relaxation, with properties calculated at the PBE level.

The symmetry is Pm-3m. The value obtained for the density of states at the Fermi level is 3.76 states/eV per atom.

The structure in POSCAR format:
```
BaHf3Ru
1.0
5.137 0.000 0.000
0.000 5.137 0.000
0.000 0.000 5.137
Hf Ba Ru
3 1 1
Cartesian
0.000 0.000 2.568
0.000 2.568 0.000
2.568 0.000 0.000
0.000 0.000 0.000
2.568 2.568 2.568
```

---

Most stable pick: <one>. Distance to second place: 2200 meV/atom.

---

<one>
Below is Ba2HfS4 after structural relaxation, with properties calculated at the PBE level.

The symmetry is I4/mmm.

The structure in POSCAR format:
```
Ba2HfS4
1.0
4.967 0.000 0.000
0.000 4.967 0.000
2.484 2.484 7.932
Ba S Hf
2 4 1
Cartesian
4.967 4.967 5.675
2.484 2.484 2.257
0.000 2.484 0.000
2.484 0.000 0.000
2.484 2.484 5.364
4.967 4.967 2.568
0.000 0.000 0.000
```

---

<two>
Below is Ba2HfS4 after structural relaxation, with properties calculated at the PBE level.

The symmetry is P2_1/m. The value obtained for the density of states at the Fermi level is 0.00 states/eV per atom.

The structure in POSCAR format:
```
Ba2HfS4
1.0
7.301 0.000 -0.074
0.000 7.095 0.000
-2.770 0.000 8.467
S Ba Hf
8 4 2
Cartesian
-1.921 5.321 7.824
5.067 1.774 5.295
6.453 1.774 0.570
2.842 0.033 2.181
2.842 3.514 2.181
-0.535 5.321 3.098
1.690 3.581 6.212
1.690 7.062 6.212
5.040 5.321 0.355
0.451 1.774 3.645
-0.508 1.774 8.039
4.081 5.321 4.749
3.151 1.774 6.720
1.380 5.321 1.674
```

---

Most stable pick: <one>. Distance to second place: 61 meV/atom.

---

<one>
Below is BaHf4S8 after structural relaxation, with properties calculated at the PBE level.

The symmetry is R-3m. The value obtained for the density of states at the Fermi level is 0.41 states/eV per atom.

The structure in POSCAR format:
```
BaHf4S8
1.0
6.576 0.000 2.999
2.604 6.039 2.999
-0.011 -0.007 8.734
S Hf Ba
8 4 1
Cartesian
3.421 4.433 9.919
2.471 1.625 3.292
2.107 1.386 8.406
7.063 4.646 6.326
6.699 4.406 11.440
5.749 1.599 4.813
5.425 1.386 9.919
3.745 4.646 4.813
1.302 3.019 1.500
0.000 0.000 0.000
3.288 0.000 1.500
4.590 3.019 2.999
4.585 3.016 7.366
```

---

<two>
Below is BaHf4S8 after structural relaxation, with properties calculated at the PBE level.

The symmetry is F-43m. The value obtained for the density of states at the Fermi level is 0.53 states/eV per atom.

The structure in POSCAR format:
```
BaHf4S8
1.0
7.797 0.000 0.000
3.899 6.753 0.000
3.899 2.251 6.366
S Hf Ba
8 4 1
Cartesian
2.113 1.220 0.863
3.899 4.313 0.863
5.684 1.220 0.863
9.395 5.424 3.836
7.797 4.502 1.226
3.899 2.251 3.778
7.797 2.656 3.836
6.199 5.424 3.836
9.851 3.316 2.345
5.744 3.316 2.345
7.797 4.502 5.698
7.797 6.873 2.345
11.696 6.753 4.775
```

---

Most stable pick: <one>. Distance to second place: 200 meV/atom.

---

<one>
Below is BaHf3Sb after structural relaxation, with properties calculated at the PBE level.

The symmetry is Pm-3m. The value obtained for the density of states at the Fermi level is 1.78 states/eV per atom.

The structure in POSCAR format:
```
BaHf3Sb
1.0
-1.013 -5.176 0.591
2.803 -0.034 4.507
-4.391 1.172 2.740
Hf Ba Sb
3 1 1
Cartesian
-2.196 0.586 1.370
-0.507 -2.588 0.295
1.401 -0.017 2.253
0.000 0.000 0.000
-1.301 -2.019 3.919
```

---

<two>
Below is BaHf3Sb after structural relaxation, with properties calculated at the PBE level.

The symmetry is Pm-3m. The value obtained for the density of states at the Fermi level is 1.09 states/eV per atom.

The structure in POSCAR format:
```
BaHf3Sb
1.0
5.437 0.000 0.000
0.000 5.437 0.000
0.000 0.000 5.437
Hf Ba Sb
3 1 1
Cartesian
0.000 0.000 2.718
0.000 2.718 0.000
2.718 0.000 0.000
2.718 2.718 2.718
0.000 0.000 0.000
```

---

Most stable pick: <two>. Distance to second place: 1199 meV/atom.

---

<one>
Below is BaHfSb2Te after structural relaxation, with properties calculated at the PBE level.

The symmetry is P4/mmm. The value obtained for the density of states at the Fermi level is 0.87 states/eV per atom.

The structure in POSCAR format:
```
BaHfSb2Te
1.0
-1.777 4.122 -3.320
1.653 -2.894 -4.478
-5.107 -2.447 -0.304
Ba Sb Te Hf
1 2 1 1
Cartesian
-2.615 -0.610 -4.051
0.827 -1.447 -2.239
-0.888 2.061 -1.660
-2.553 -1.223 -0.152
0.000 0.000 0.000
```

---

<two>
Below is BaHfSb2Te after structural relaxation, with properties calculated at the PBE level.

The symmetry is P4/mmm. The value obtained for the density of states at the Fermi level is 1.25 states/eV per atom.

The structure in POSCAR format:
```
BaHfSb2Te
1.0
5.957 0.000 0.000
0.000 5.957 0.000
0.000 0.000 6.141
Ba Sb Te Hf
1 2 1 1
Cartesian
0.000 0.000 0.000
2.979 0.000 0.000
0.000 2.979 0.000
0.000 0.000 3.070
2.979 2.979 3.070
```

---

Most stable pick: <one>. Distance to second place: 1898 meV/atom.

---

<one>
Below is BaHfSc2 after structural relaxation, with properties calculated at the PBE level.

The symmetry is I4_1/amd. The value obtained for the density of states at the Fermi level is 1.72 states/eV per atom.

The structure in POSCAR format:
```
BaHfSc2
1.0
-0.877 -1.617 -5.230
3.556 -4.195 0.700
-6.429 -8.963 0.910
Hf Sc Ba
2 4 2
Cartesian
0.000 0.000 0.000
-2.983 -6.742 -3.292
-0.152 -6.278 -3.913
-1.930 -4.179 -4.259
-4.705 -7.854 -1.191
-5.146 -8.659 -3.806
-0.767 -8.032 -0.327
1.340 -2.906 -2.265
```

---

<two>
Below is BaHfSc2 after structural relaxation, with properties calculated at the PBE level.

The symmetry is Fm-3m. The value obtained for the density of states at the Fermi level is 1.72 states/eV per atom.

The structure in POSCAR format:
```
BaHfSc2
1.0
-1.072 2.206 4.846
-3.526 -2.405 3.359
1.777 -2.407 4.532
Hf Sc Ba
1 2 1
Cartesian
-1.410 -1.304 6.368
-2.115 -1.955 9.553
-0.705 -0.652 3.184
0.000 0.000 0.000
```

---

Most stable pick: <two>. Distance to second place: 589 meV/atom.

---

<one>
Below is Ba2Hf2Se after structural relaxation, with properties calculated at the PBE level.

The symmetry is I4/mmm. The value obtained for the density of states at the Fermi level is 1.13 states/eV per atom.

The structure in POSCAR format:
```
Ba2Hf2Se
1.0
-0.889 -1.706 -3.522
1.048 -3.583 1.471
-9.956 -4.227 2.274
Hf Ba Se
2 2 1
Cartesian
-4.414 -5.227 1.360
-5.382 -4.289 -1.137
-8.092 -6.590 0.662
-1.704 -2.926 -0.439
0.000 0.000 0.000
```

---

<two>
Below is Ba2Hf2Se after structural relaxation, with properties calculated at the PBE level.

The symmetry is P4/mbm. The value obtained for the density of states at the Fermi level is 0.85 states/eV per atom.

The structure in POSCAR format:
```
Ba2Hf2Se
1.0
-6.769 -4.678 -2.279
3.804 -7.001 3.071
-2.304 0.921 4.953
Hf Se Ba
4 2 4
Cartesian
-5.696 -6.443 1.646
0.426 -4.314 4.098
-1.887 -8.626 3.824
-3.383 -2.132 1.921
0.000 0.000 0.000
-1.483 -5.839 0.396
-3.038 -8.580 0.182
0.932 -7.319 1.794
0.072 -3.098 0.610
-3.898 -4.360 -1.003
```

---

Most stable pick: <one>. Distance to second place: 772 meV/atom.

---

<one>
Below is BaHf3Se after structural relaxation, with properties calculated at the PBE level.

The symmetry is Pm-3m. The value obtained for the density of states at the Fermi level is 1.42 states/eV per atom.

The structure in POSCAR format:
```
BaHf3Se
1.0
5.303 0.000 0.000
0.000 5.303 0.000
0.000 0.000 5.303
Ba Hf Se
1 3 1
Cartesian
0.000 0.000 0.000
0.000 0.000 2.652
0.000 2.652 0.000
2.652 0.000 0.000
2.652 2.652 2.652
```

---

<two>
Below is BaHf3Se after structural relaxation, with properties calculated at the PBE level.

The symmetry is Pm-3m. The value obtained for the density of states at the Fermi level is 0.68 states/eV per atom.

The structure in POSCAR format:
```
BaHf3Se
1.0
5.167 0.000 0.000
0.000 5.167 0.000
0.000 0.000 5.167
Hf Se Ba
3 1 1
Cartesian
2.584 0.000 0.000
0.000 0.000 2.584
0.000 2.584 0.000
0.000 0.000 0.000
2.584 2.584 2.584
```

---

Most stable pick: <two>. Distance to second place: 1844 meV/atom.